# CrSbO4 | Alexandria via LeMat-Bulk | GGA+U | relaxed
data_CrSbO4
_symmetry_space_group_name_H-M 'P 1'
_symmetry_Int_Tables_number 1
_cell_length_a 6.1358
_cell_length_b 6.1358
_cell_length_c 6.1358
_cell_angle_alpha 120.70
_cell_angle_beta 118.81
_cell_angle_gamma 90.44
loop_
_symmetry_equiv_pos_as_xyz
'x,y,z'
loop_
_atom_site_label
_atom_site_type_symbol
_atom_site_fract_x
_atom_site_fract_y
_atom_site_fract_z
Cr1 Cr 0.0000 0.0000 0.5000
Cr2 Cr 0.0000 0.5000 0.0000
Sb1 Sb 0.0000 0.5000 0.5000
Sb2 Sb 0.5000 0.5000 0.0000
O1 O 0.1945 0.7294 0.4652
O2 O 0.7608 0.7339 0.4730
O3 O 0.7608 0.2878 0.0270
O4 O 0.7642 0.7294 0.0348
O5 O 0.2358 0.2706 0.9652
O6 O 0.2392 0.2661 0.5270
O7 O 0.2392 0.7122 0.9730
O8 O 0.8055 0.2706 0.5348
# - volume (Å³/f.u.) = 81.9
# - DFT total energy (eV/atom) = -6.763
# - magnetization (μB/atom) = 0.50